ReAg2Mo: relaxed, GGA-PBE.

Output
DFT formation energy in eV/atom: 0.546

Unit cell a=9.3996 b=2.6432 c=5.3077 alpha=90.00 beta=95.08 gamma=90.00
Closest atoms and distances in Å follow each position.
Space group Cm (No. 8)
Inequivalent atoms, fractional coordinates:
Re 0.0000 0.0000 0.0000 x2  3 Mo 2.59-2.89, 2 Re 2.64
Ag 0.0068 0.5000 0.4909 x2  5 Ag 2.64-2.85, 2 Re 2.92, 1 Mo 2.94
Ag 0.2567 0.0000 0.7114 x2  5 Ag 2.64-2.85, 2 Mo 2.92, 2 Re 2.95
Mo 0.2591 0.5000 0.2016 x2  3 Re 2.59-2.89, 2 Mo 2.64